NaYPd6O8: optimized geometry, PBE-GGA.

abc: 5.8338 5.8338 5.8338
angles: 90.00 90.00 90.00
Last column: nearest neighbours and their distance in Å.
Element x y z (fractional)
Na 0.0000 0.0000 0.0000  8 O 2.62
Y 0.5000 0.5000 0.5000  8 O 2.43
Pd 0.0000 0.2494 0.5000  4 O 2.06
Pd 0.0000 0.7506 0.5000  4 O 2.06
Pd 0.2494 0.5000 0.0000  4 O 2.06
Pd 0.5000 0.0000 0.2494  4 O 2.06
Pd 0.5000 0.0000 0.7506  4 O 2.06
Pd 0.7506 0.5000 0.0000  4 O 2.06
O 0.2594 0.2594 0.2594  3 Pd 2.06
O 0.2594 0.2594 0.7406  3 Pd 2.06
O 0.2594 0.7406 0.2594  3 Pd 2.06
O 0.2594 0.7406 0.7406  3 Pd 2.06
O 0.7406 0.2594 0.2594  3 Pd 2.06
O 0.7406 0.2594 0.7406  3 Pd 2.06
O 0.7406 0.7406 0.2594  3 Pd 2.06
O 0.7406 0.7406 0.7406  3 Pd 2.06

* E_form (uncorrected): -1.080 eV/atom
* E_tot: -95.889 eV for the cell shown